*A*
Computed, not measured: an optimized crystal structure of Re2OsRu at the PBE level of DFT.

total magnetic moment: 0.00 μB per cell

a b c (Å): 5.080 9.214 5.111
angles (deg): 90.00 94.98 90.00
Space group P2_1/c (No. 14)
Symmetry-distinct sites (fractional):
Re: 0.001 0.230 0.045
Re: 0.459 0.703 0.193
Os: 0.191 0.514 0.827
Ru: 0.313 0.052 0.839

---

*B*
Computed, not measured: an optimized crystal structure of Re2OsRu at the PBE level of DFT.

total magnetic moment: 0.00 μB per cell

a b c (Å): 3.875 3.875 7.746
angles (deg): 90.00 90.00 90.00
Space group I4/mmm (No. 139)
Symmetry-distinct sites (fractional):
Re: 0.000 0.500 0.250
Os: 0.000 0.000 0.000
Ru: 0.000 0.000 0.500

---

*C*
Computed, not measured: an optimized crystal structure of Re2OsRu at the PBE level of DFT.

total magnetic moment: 0.00 μB per cell

a b c (Å): 5.478 7.764 2.735
angles (deg): 90.00 90.00 90.00
Space group Cmmm (No. 65)
Symmetry-distinct sites (fractional):
Re: 0.250 0.250 0.000
Os: 0.000 0.000 0.500
Ru: 0.000 0.500 0.500

---

*D*
Computed, not measured: an optimized crystal structure of Re2OsRu at the PBE level of DFT.

total magnetic moment: 0.00 μB per cell

a b c (Å): 2.7428 2.7428 26.8807
angles (deg): 90.00 90.00 120.00
Space group R3m (No. 160, hexagonal axes)
Symmetry-distinct sites (fractional):
Re: 0.0000 0.0000 0.0000
Re: 0.0000 0.0000 0.2472
Os: 0.0000 0.0000 0.7485
Ru: 0.0000 0.0000 0.4991

---

Which of them is most stable? Easy: *C*.

---

*A*
Computed, not measured: an optimized crystal structure of Re2OsRu at the PBE level of DFT.

total magnetic moment: 0.00 μB per cell

a b c (Å): 2.765 4.376 4.790
angles (deg): 90.00 90.00 90.00
Space group Pmm2 (No. 25)
Symmetry-distinct sites (fractional):
Re: 0.000 0.000 0.000
Re: 0.000 0.500 0.333
Os: 0.500 0.000 0.498
Ru: 0.500 0.500 0.840

---

*B*
Computed, not measured: an optimized crystal structure of Re2OsRu at the PBE level of DFT.

total magnetic moment: 3.62 μB per cell

a b c (Å): 6.197 6.197 6.197
angles (deg): 90.00 90.00 90.00
Space group Fm-3m (No. 225)
Symmetry-distinct sites (fractional):
Re: 0.250 0.250 0.250
Os: 0.000 0.000 0.000
Ru: 0.000 0.000 0.500

---

*C*
Computed, not measured: an optimized crystal structure of Re2OsRu at the PBE level of DFT.

total magnetic moment: 0.00 μB per cell

a b c (Å): 3.875 3.875 7.751
angles (deg): 90.00 90.00 90.00
Space group I-4m2 (No. 119)
Symmetry-distinct sites (fractional):
Re: 0.000 0.000 0.000
Re: 0.000 0.500 0.250
Os: 0.000 0.000 0.500
Ru: 0.000 0.500 0.750

---

Which of them is most stable? Easy: *A*.

---

*A*
Computed, not measured: an optimized crystal structure of Re2OsRu at the PBE level of DFT.

total magnetic moment: 0.00 μB per cell

a b c (Å): 4.762 2.753 9.012
angles (deg): 90.00 100.10 90.00
Space group Cm (No. 8)
Symmetry-distinct sites (fractional):
Re: 0.000 0.000 0.000
Re: 0.167 0.000 0.498
Os: 0.419 0.000 0.253
Ru: 0.084 0.500 0.745

---

*B*
Computed, not measured: an optimized crystal structure of Re2OsRu at the PBE level of DFT.

total magnetic moment: 0.00 μB per cell

a b c (Å): 2.735 2.735 7.776
angles (deg): 90.00 90.00 90.00
Space group P4/mmm (No. 123)
Symmetry-distinct sites (fractional):
Re: 0.000 0.000 0.249
Os: 0.500 0.500 0.500
Ru: 0.500 0.500 0.000

---

Which of them is most stable? Easy: *A*.

---

*A*
Computed, not measured: an optimized crystal structure of ReOs2Ru at the PBE level of DFT.

total magnetic moment: 0.00 μB per cell

a b c (Å): 9.060 2.730 4.730
angles (deg): 90.00 100.06 90.00
Space group C2/m (No. 12)
Symmetry-distinct sites (fractional):
Re: 0.000 0.000 0.000
Os: 0.249 0.500 0.249
Ru: 0.000 0.500 0.500

---

*B*
Computed, not measured: an optimized crystal structure of ReOs2Ru at the PBE level of DFT.

total magnetic moment: 1.36 μB per cell

a b c (Å): 3.255 3.255 5.587
angles (deg): 90.00 90.00 90.00
Space group P4/mmm (No. 123)
Symmetry-distinct sites (fractional):
Re: 0.000 0.000 0.000
Os: 0.500 0.500 0.259
Ru: 0.000 0.000 0.500

---

*C*
Computed, not measured: an optimized crystal structure of ReOs2Ru at the PBE level of DFT.

total magnetic moment: 0.00 μB per cell

a b c (Å): 4.2572 4.2572 11.8787
angles (deg): 90.00 90.00 120.00
Space group R3m (No. 160, hexagonal axes)
Symmetry-distinct sites (fractional):
Re: 0.0000 0.0000 0.0000
Os: 0.0000 0.0000 0.5549
Os: 0.0000 0.0000 0.7765
Ru: 0.0000 0.0000 0.2207

---

*D*
Computed, not measured: an optimized crystal structure of ReOs2Ru at the PBE level of DFT.

total magnetic moment: 0.00 μB per cell

a b c (Å): 5.596 5.596 11.005
angles (deg): 90.00 90.00 90.00
Space group I-42d (No. 122)
Symmetry-distinct sites (fractional):
Re: 0.000 0.000 0.000
Os: 0.246 0.250 0.625
Ru: 0.000 0.000 0.500

---

Which of them is most stable? Easy: *A*.

---

*A*
Computed, not measured: an optimized crystal structure of ReOs2Ru at the PBE level of DFT.

total magnetic moment: 0.00 μB per cell

a b c (Å): 4.791 9.097 2.727
angles (deg): 90.00 91.93 90.00
Space group C2 (No. 5)
Symmetry-distinct sites (fractional):
Re: 0.000 0.000 0.000
Os: 0.231 0.730 0.275
Ru: 0.000 0.465 0.500

---

*B*
Computed, not measured: an optimized crystal structure of ReOs2Ru at the PBE level of DFT.

total magnetic moment: 1.13 μB per cell

a b c (Å): 3.268 3.268 5.549
angles (deg): 90.00 90.00 90.00
Space group P4mm (No. 99)
Symmetry-distinct sites (fractional):
Re: 0.000 0.000 0.000
Os: 0.000 0.000 0.487
Os: 0.500 0.500 0.742
Ru: 0.500 0.500 0.253

---

Which of them is most stable? Easy: *A*.

---

*A*
Computed, not measured: an optimized crystal structure of ReOsRu2 at the PBE level of DFT.

total magnetic moment: 1.31 μB per cell

a b c (Å): 3.244 3.244 5.579
angles (deg): 90.00 90.00 90.00
Space group P4mm (No. 99)
Symmetry-distinct sites (fractional):
Re: 0.000 0.000 0.000
Os: 0.500 0.500 0.742
Ru: 0.000 0.000 0.485
Ru: 0.500 0.500 0.257

---

*B*
Computed, not measured: an optimized crystal structure of ReOsRu2 at the PBE level of DFT.

total magnetic moment: 0.00 μB per cell

a b c (Å): 2.7282 2.7282 26.6509
angles (deg): 90.00 90.00 120.00
Space group R-3m (No. 166, hexagonal axes)
Symmetry-distinct sites (fractional):
Re: 0.0000 0.0000 0.0000
Os: 0.0000 0.0000 0.5000
Ru: 0.0000 0.0000 0.2497

---

*C*
Computed, not measured: an optimized crystal structure of ReOsRu2 at the PBE level of DFT.

total magnetic moment: 2.00 μB per cell

a b c (Å): 2.805 4.595 9.112
angles (deg): 90.00 90.00 90.00
Space group Cmmm (No. 65)
Symmetry-distinct sites (fractional):
Re: 0.000 0.000 0.000
Os: 0.000 0.000 0.500
Ru: 0.000 0.500 0.249

---

Which of them is most stable? Easy: *B*.

---

*A*
Computed, not measured: an optimized crystal structure of ReOsRu2 at the PBE level of DFT.

total magnetic moment: 5.26 μB per cell

a b c (Å): 6.170 6.170 6.170
angles (deg): 90.00 90.00 90.00
Space group Fm-3m (No. 225)
Symmetry-distinct sites (fractional):
Re: 0.000 0.000 0.000
Os: 0.000 0.000 0.500
Ru: 0.250 0.250 0.250

---

*B*
Computed, not measured: an optimized crystal structure of ReOsRu2 at the PBE level of DFT.

total magnetic moment: 2.55 μB per cell

a b c (Å): 2.807 4.594 9.135
angles (deg): 90.00 90.00 90.00
Space group Cmm2 (No. 35)
Symmetry-distinct sites (fractional):
Re: 0.000 0.000 0.000
Os: 0.000 0.500 0.251
Ru: 0.000 0.000 0.502
Ru: 0.000 0.500 0.753

---

*C*
Computed, not measured: an optimized crystal structure of ReOsRu2 at the PBE level of DFT.

total magnetic moment: 0.00 μB per cell

a b c (Å): 2.722 4.354 10.451
angles (deg): 90.00 90.00 90.00
Space group Imm2 (No. 44)
Symmetry-distinct sites (fractional):
Re: 0.000 0.000 0.000
Os: 0.000 0.500 0.288
Ru: 0.000 0.000 0.563
Ru: 0.000 0.500 0.726

---

Which of them is most stable? Easy: *C*.

---

*A*
Computed, not measured: an optimized crystal structure of ReOsRu2 at the PBE level of DFT.

total magnetic moment: 4.01 μB per cell

a b c (Å): 6.165 6.165 6.165
angles (deg): 90.00 90.00 90.00
Space group F-43m (No. 216)
Symmetry-distinct sites (fractional):
Re: 0.000 0.000 0.000
Os: 0.250 0.250 0.750
Ru: 0.000 0.000 0.500
Ru: 0.250 0.250 0.250

---

*B*
Computed, not measured: an optimized crystal structure of ReOsRu2 at the PBE level of DFT.

total magnetic moment: 0.00 μB per cell

a b c (Å): 3.860 3.860 7.664
angles (deg): 90.00 90.00 90.00
Space group I-4m2 (No. 119)
Symmetry-distinct sites (fractional):
Re: 0.000 0.000 0.000
Os: 0.000 0.500 0.750
Ru: 0.000 0.000 0.500
Ru: 0.000 0.500 0.250

---

Which of them is most stable? Easy: *B*.

---

*A*
Computed, not measured: an optimized crystal structure of ReOsRu2 at the PBE level of DFT.

total magnetic moment: 0.00 μB per cell

a b c (Å): 4.759 4.350 10.997
angles (deg): 90.00 90.00 90.00
Space group Pnma (No. 62)
Symmetry-distinct sites (fractional):
Re: 0.083 0.250 0.064
Os: 0.081 0.250 0.313
Ru: 0.081 0.250 0.562
Ru: 0.089 0.250 0.812

---

*B*
Computed, not measured: an optimized crystal structure of ReOsRu2 at the PBE level of DFT.

total magnetic moment: 0.00 μB per cell

a b c (Å): 9.044 2.724 4.715
angles (deg): 90.00 99.90 90.00
Space group C2/m (No. 12)
Symmetry-distinct sites (fractional):
Re: 0.000 0.000 0.000
Os: 0.000 0.500 0.500
Ru: 0.249 0.000 0.750

---

Which of them is most stable? Easy: *A*.

---

*A*
Computed, not measured: an optimized crystal structure of ReOsRu2 at the PBE level of DFT.

total magnetic moment: 0.00 μB per cell

a b c (Å): 3.851 3.851 3.850
angles (deg): 90.00 90.00 90.00
Space group P4/mmm (No. 123)
Symmetry-distinct sites (fractional):
Re: 0.000 0.000 0.000
Os: 0.500 0.500 0.000
Ru: 0.000 0.500 0.500

---

*B*
Computed, not measured: an optimized crystal structure of ReOsRu2 at the PBE level of DFT.

total magnetic moment: 0.00 μB per cell

a b c (Å): 2.729 2.729 7.693
angles (deg): 90.00 90.00 90.00
Space group P4mm (No. 99)
Symmetry-distinct sites (fractional):
Re: 0.000 0.000 0.000
Os: 0.500 0.500 0.740
Ru: 0.000 0.000 0.499
Ru: 0.500 0.500 0.243

---

Which of them is most stable? Easy: *A*.